# 1
A relaxed structure of MgGa2Cu, computed with PBE-GGA.

POSCAR file:
```
MgGa2Cu
1.0
15.254 0.000 0.000
0.000 6.820 0.000
0.000 0.000 5.152
Mg Ga Cu
8 16 8
Cartesian
1.677 1.705 1.193
2.175 5.115 2.386
5.453 1.705 4.963
5.950 5.115 3.770
9.305 1.705 1.383
9.802 5.115 0.190
13.080 1.705 2.766
13.577 5.115 3.959
0.456 0.369 3.790
0.456 3.041 3.790
3.305 3.775 4.938
3.305 6.456 4.938
4.322 0.364 2.362
4.322 3.046 2.362
7.172 3.779 1.214
7.172 6.451 1.214
8.083 0.369 3.938
8.083 3.041 3.938
10.933 3.775 2.790
10.933 6.456 2.790
11.949 0.364 0.214
11.949 3.046 0.214
14.799 3.779 1.362
14.799 6.451 1.362
1.134 5.115 5.004
2.632 1.705 3.713
4.995 5.115 1.137
6.494 1.705 2.428
8.761 5.115 2.724
10.259 1.705 4.015
12.622 5.115 1.439
14.121 1.705 0.148
```

Results
* V: 16.75 A^3/atom
* calculated density: 5.63 Mg/m³
* final energy: -3.093 eV per atom
* ΔE_f: -0.156 eV/atom



# 2
A relaxed structure of Sc2NbBr, computed with PBE-GGA.

POSCAR file:
```
Sc2NbBr
1.0
-3.904 3.904 2.923
3.904 -3.904 2.923
3.904 3.904 -2.923
Sc Nb Br
4 2 2
Cartesian
1.952 1.568 -0.731
2.335 -1.952 3.654
1.952 2.335 2.192
1.568 5.855 0.731
3.904 0.000 1.462
0.000 0.000 2.923
0.000 0.000 0.000
0.000 3.904 1.462
```

Results
* V: 22.27 A^3/atom
* formation energy from raw total energies: 0.2907 eV per atom
* energy relative to the lowest polymorph listed for this composition: 423 meV/atom
* calculated density: 4.90 Mg/m³
* final energy: -5.811 eV per atom



# 3
A relaxed structure of TcMoOs, computed with PBE-GGA.

POSCAR file:
```
TcMoOs
1.0
-1.373 1.960 4.170
1.373 -1.960 4.170
1.373 1.960 -4.170
Tc Mo Os
1 1 1
Cartesian
0.000 0.000 0.000
0.000 0.000 5.604
0.000 0.000 2.837
```

Results
* V: 14.96 A^3/atom
* energy relative to the lowest polymorph listed for this composition: 49 meV/atom
* calculated density: 14.21 Mg/m³
* final energy: -10.705 eV per atom
* ΔE_f: 0.104 eV/atom



# 4
A relaxed structure of PmY4Ru2, computed with PBE-GGA.

POSCAR file:
```
PmY4Ru2
1.0
7.772 0.000 0.000
0.000 6.427 0.000
-3.114 0.000 7.403
Pm Y Ru
2 8 4
Cartesian
-0.336 1.607 1.220
4.994 4.821 6.184
0.075 6.424 4.331
0.075 3.217 4.331
1.737 4.821 1.862
2.895 1.607 0.146
1.763 4.821 7.258
2.921 1.607 5.542
4.583 0.003 3.073
4.583 3.211 3.073
-2.123 1.607 5.461
2.050 1.607 2.754
2.608 4.821 4.649
6.781 4.821 1.942
```

Results
* V: 26.42 A^3/atom
* calculated density: 6.31 Mg/m³
* final energy: -7.237 eV per atom
* ΔE_f: -0.214 eV/atom



# 5
A relaxed structure of In2PAu, computed with PBE-GGA.

POSCAR file:
```
In2PAu
1.0
5.715 0.000 0.000
0.003 5.900 0.000
2.856 1.820 5.336
In P Au
4 2 2
Cartesian
1.419 2.361 2.591
4.281 2.940 4.909
4.292 4.780 0.427
7.154 5.358 2.745
4.291 5.790 3.016
4.282 1.929 2.321
1.435 4.103 0.175
7.138 3.616 5.161
```

Results
* V: 22.49 A^3/atom
* calculated density: 8.45 Mg/m³
* final energy: -3.616 eV per atom
* ΔE_f: -0.075 eV/atom



# 6
A relaxed structure of Sr2ErMg3Cd12, computed with PBE-GGA.

POSCAR file:
```
Sr2ErMg3Cd12
1.0
3.271 1.888 13.726
-3.271 1.888 13.726
0.000 -3.776 13.726
Sr Er Mg Cd
2 1 3 12
Cartesian
0.000 0.000 5.807
0.000 0.000 35.371
0.000 0.000 20.589
-1.635 -0.944 13.726
-1.635 0.944 27.452
0.000 1.888 13.726
0.000 -2.042 11.505
-1.768 1.021 11.505
-1.658 -0.957 18.199
-1.768 -1.021 29.673
0.000 -1.914 22.978
-1.658 0.957 22.978
1.658 -0.957 18.199
0.000 1.914 18.199
1.768 1.021 11.505
1.658 0.957 22.978
1.768 -1.021 29.673
0.000 2.042 29.673
```

Results
* V: 28.26 A^3/atom
* calculated density: 5.76 Mg/m³
* final energy: -1.346 eV per atom
* ΔE_f: -0.030 eV/atom



# 7
A relaxed structure of Li3ClO, computed with PBE-GGA.

POSCAR file:
```
Li3ClO
1.0
5.462 -4.705 0.000
5.462 4.705 0.000
-0.029 0.000 5.365
Li Cl O
12 4 4
Cartesian
4.608 3.970 4.907
4.587 2.680 2.369
6.274 3.970 3.141
4.058 1.203 4.533
6.324 2.680 0.314
6.824 1.203 3.515
4.072 -1.203 1.851
4.572 -2.680 5.052
6.838 -1.203 0.832
4.622 -3.970 2.224
6.309 -2.680 2.996
6.288 -3.970 0.458
3.199 1.085 1.365
3.185 -1.085 4.048
7.711 1.085 1.317
7.697 -1.085 4.000
5.455 3.947 1.341
5.441 2.291 4.024
5.455 -2.291 1.341
5.441 -3.947 4.024
```

Results
* V: 13.79 A^3/atom
* formation energy from raw total energies: -1.7948 eV per atom
* energy relative to the lowest polymorph listed for this composition: 28 meV/atom
* calculated density: 1.74 Mg/m³
* final energy: -4.304 eV per atom



# 8
A relaxed structure of Sr2Tl7Cd, computed with PBE-GGA.

POSCAR file:
```
Sr2Tl7Cd
1.0
0.000 5.822 5.822
5.822 0.000 5.822
5.822 5.822 0.000
Sr Tl Cd
2 7 1
Cartesian
2.911 2.911 2.911
8.733 8.733 8.733
0.000 0.000 0.000
5.822 5.822 2.968
5.822 2.968 5.822
8.676 5.822 5.822
2.968 5.822 5.822
5.822 8.676 5.822
5.822 5.822 8.676
5.822 5.822 5.822
```

Results
* V: 39.47 A^3/atom
* calculated density: 7.23 Mg/m³
* final energy: -1.971 eV per atom
* ΔE_f: 0.113 eV/atom



Question: Which of these has the lowest V?
Answer: Li3ClO